# 1
Density functional theory data (PBE-GGA) for a relaxed structure of NbGeB3.

- formation energy (eV/atom) = 1.75
- ρ (g/cm3) = 5.17
- calculated volume (A^3/atom) = 12.71
- total moment (μB/atom) = 0.000
- polymorph energy (0 for the lowest one) (eV per atom) = 0.2603

a = 3.9910 Å, b = 3.9910 Å, c = 3.9910 Å
α = 90.00°, β = 90.00°, γ = 90.00°
Sites, in units of the cell vectors:
Nb1 0.0000 0.0000 0.0000
Ge1 0.5000 0.5000 0.5000
B1 0.0000 0.5000 0.5000
B2 0.5000 0.0000 0.5000
B3 0.5000 0.5000 0.0000


# 2
Density functional theory data (PBE-GGA) for a relaxed structure of Nd8AlSn2.

- formation energy (eV/atom) = -0.33
- ρ (g/cm3) = 6.76
- calculated volume (A^3/atom) = 31.69
- total moment (μB/atom) = 0.000

a = 10.1752 Å, b = 10.1752 Å, c = 6.9580 Å
α = 105.06°, β = 105.06°, γ = 30.16°
Sites, in units of the cell vectors:
Nd1 0.0128 0.0128 0.2727
Nd2 0.2130 0.2130 0.8156
Nd3 0.3437 0.3437 0.5052
Nd4 0.4089 0.4089 0.0260
Nd5 0.5911 0.5911 0.9740
Nd6 0.6563 0.6563 0.4948
Nd7 0.7870 0.7870 0.1844
Nd8 0.9872 0.9872 0.7273
Al1 0.5000 0.5000 0.5000
Sn1 0.1771 0.1771 0.2478
Sn2 0.8229 0.8229 0.7522


# 3
Density functional theory data (PBE-GGA) for a relaxed structure of Pm2ThTe2S2.

- ρ (g/cm3) = 6.31
- calculated volume (A^3/atom) = 31.65
- total moment (μB/atom) = 0.000
- formation energy from raw total energies (eV per formula unit) = -8.9

a = 8.7741 Å, b = 8.7741 Å, c = 8.7741 Å
α = 144.96°, β = 144.96°, γ = 50.39°
Sites, in units of the cell vectors:
Pm1 0.1101 0.1101 0.0000
Pm2 0.8899 0.8899 0.0000
Th1 0.5000 0.5000 0.0000
Te1 0.3081 0.3081 0.0000
Te2 0.6919 0.6919 0.0000
S1 0.0000 0.5000 0.5000
S2 0.5000 0.0000 0.5000


# 4
Density functional theory data (PBE-GGA) for a relaxed structure of La11Tb4Y9.

- formation energy (eV/atom) = 0.06
- ρ (g/cm3) = 5.88
- calculated volume (A^3/atom) = 34.89
- total moment (μB/atom) = 0.000

a = 15.6296 Å, b = 15.6296 Å, c = 3.7244 Å
α = 90.00°, β = 90.00°, γ = 113.01°
Sites, in units of the cell vectors:
La1 0.0000 0.0000 0.0000
La2 0.0446 0.4063 0.0000
La3 0.1593 0.8407 0.0000
La4 0.2933 0.2933 0.0000
La5 0.3686 0.6314 0.0000
La6 0.4063 0.0446 0.0000
La7 0.5937 0.9554 0.0000
La8 0.6314 0.3686 0.0000
La9 0.7067 0.7067 0.0000
La10 0.8407 0.1593 0.0000
La11 0.9554 0.5937 0.0000
Tb1 0.2420 0.4449 0.5000
Tb2 0.4449 0.2420 0.5000
Tb3 0.5551 0.7580 0.5000
Tb4 0.7580 0.5551 0.5000
Y1 0.0685 0.2137 0.5000
Y2 0.1657 0.6318 0.5000
Y3 0.2137 0.0685 0.5000
Y4 0.3682 0.8343 0.5000
Y5 0.5000 0.5000 0.5000
Y6 0.6318 0.1657 0.5000
Y7 0.7863 0.9315 0.5000
Y8 0.8343 0.3682 0.5000
Y9 0.9315 0.7863 0.5000


# 5
Density functional theory data (PBE-GGA) for a relaxed structure of Li4PuCd15.

- formation energy (eV/atom) = -0.12
- ρ (g/cm3) = 7.46
- calculated volume (A^3/atom) = 21.78
- total moment (μB/atom) = 0.294

a = 4.4645 Å, b = 4.4645 Å, c = 21.8570 Å
α = 90.00°, β = 90.00°, γ = 90.00°
Sites, in units of the cell vectors:
Li1 0.0000 0.0000 0.0944
Li2 0.0000 0.0000 0.2900
Li3 0.0000 0.0000 0.7100
Li4 0.0000 0.0000 0.9056
Pu1 0.0000 0.0000 0.5000
Cd1 0.0000 0.5000 0.0000
Cd2 0.0000 0.5000 0.1916
Cd3 0.0000 0.5000 0.3877
Cd4 0.0000 0.5000 0.6123
Cd5 0.0000 0.5000 0.8084
Cd6 0.5000 0.0000 0.0000
Cd7 0.5000 0.0000 0.1916
Cd8 0.5000 0.0000 0.3877
Cd9 0.5000 0.0000 0.6123
Cd10 0.5000 0.0000 0.8084
Cd11 0.5000 0.5000 0.0955
Cd12 0.5000 0.5000 0.2879
Cd13 0.5000 0.5000 0.5000
Cd14 0.5000 0.5000 0.7121
Cd15 0.5000 0.5000 0.9045


# 6
Density functional theory data (PBE-GGA) for a relaxed structure of NbPt2Cl.

- ρ (g/cm3) = 9.52
- calculated volume (A^3/atom) = 22.61
- total moment (μB/atom) = 0.000
- formation energy from raw total energies (eV per formula unit) = 0.8
- polymorph energy (0 for the lowest one) (eV per atom) = 0.0000

a = 6.2500 Å, b = 6.2500 Å, c = 6.2500 Å
α = 116.36°, β = 116.36°, γ = 96.42°
Sites, in units of the cell vectors:
Nb1 0.0000 0.0000 0.0000
Nb2 0.7500 0.2500 0.5000
Pt1 0.1081 0.6250 0.9831
Pt2 0.3750 0.3581 0.4831
Pt3 0.6419 0.1250 0.0169
Pt4 0.8750 0.8919 0.5169
Cl1 0.2500 0.7500 0.5000
Cl2 0.5000 0.5000 0.0000


# 7
Density functional theory data (PBE-GGA) for a relaxed structure of ZnAsP2.

- formation energy (eV/atom) = 0.53
- ρ (g/cm3) = 5.13
- calculated volume (A^3/atom) = 16.36
- total moment (μB/atom) = 0.000
- polymorph energy (0 for the lowest one) (eV per atom) = 0.4903

a = 4.5228 Å, b = 4.5228 Å, c = 4.5228 Å
α = 60.00°, β = 60.00°, γ = 60.00°
Sites, in units of the cell vectors:
Zn1 0.0000 0.0000 0.0000
As1 0.5000 0.5000 0.5000
P1 0.2500 0.2500 0.2500
P2 0.7500 0.7500 0.7500


# 8
Density functional theory data (PBE-GGA) for a relaxed structure of Zr2SnCl.

- ρ (g/cm3) = 6.56
- calculated volume (A^3/atom) = 21.30
- total moment (μB/atom) = 0.000
- formation energy from raw total energies (eV per formula unit) = -1.7
- polymorph energy (0 for the lowest one) (eV per atom) = 0.0000

a = 4.9389 Å, b = 4.9389 Å, c = 4.9389 Å
α = 60.00°, β = 60.00°, γ = 60.00°
Sites, in units of the cell vectors:
Zr1 0.2500 0.2500 0.2500
Zr2 0.7500 0.7500 0.7500
Sn1 0.0000 0.0000 0.0000
Cl1 0.5000 0.5000 0.5000


# 9
Density functional theory data (PBE-GGA) for a relaxed structure of Np2PaS3.

- ρ (g/cm3) = 10.68
- calculated volume (A^3/atom) = 20.76
- total moment (μB/atom) = 1.337
- formation energy from raw total energies (eV per formula unit) = -8.8

a = 6.7370 Å, b = 6.7370 Å, c = 6.7234 Å
α = 99.61°, β = 99.61°, γ = 119.98°
Sites, in units of the cell vectors:
Np1 0.0000 0.0000 0.0000
Np2 0.1674 0.8326 0.5000
Np3 0.5000 0.5000 0.5000
Np4 0.8326 0.1674 0.5000
Pa1 0.3336 0.6664 0.0000
Pa2 0.6664 0.3336 0.0000
S1 0.0847 0.4150 0.2546
S2 0.2449 0.2449 0.7441
S3 0.4150 0.0847 0.2546
S4 0.5850 0.9153 0.7454
S5 0.7551 0.7551 0.2559
S6 0.9153 0.5850 0.7454


# 10
Density functional theory data (PBE-GGA) for a relaxed structure of LaNd3Zn8.

- formation energy (eV/atom) = -0.30
- ρ (g/cm3) = 7.31
- calculated volume (A^3/atom) = 20.73
- total moment (μB/atom) = 0.000

a = 5.7207 Å, b = 5.7207 Å, c = 8.7784 Å
α = 90.00°, β = 90.00°, γ = 120.00°
Sites, in units of the cell vectors:
La1 0.0000 0.0000 0.0000
Nd1 0.0000 0.0000 0.3994
Nd2 0.6667 0.3333 0.5044
Nd3 0.6667 0.3333 0.8958
Zn1 0.0026 0.5013 0.2014
Zn2 0.1712 0.3424 0.6977
Zn3 0.1712 0.8288 0.6977
Zn4 0.3333 0.6667 0.4471
Zn5 0.3333 0.6667 0.9512
Zn6 0.4987 0.5013 0.2014
Zn7 0.4987 0.9974 0.2014
Zn8 0.6576 0.8288 0.6977


# 11
Density functional theory data (PBE-GGA) for a relaxed structure of KMoIr3.

- formation energy (eV/atom) = 3.30
- ρ (g/cm3) = 12.34
- calculated volume (A^3/atom) = 19.16
- total moment (μB/atom) = 0.000
- polymorph energy (0 for the lowest one) (eV per atom) = 2.0469

a = 4.5758 Å, b = 4.5758 Å, c = 4.5758 Å
α = 90.00°, β = 90.00°, γ = 90.00°
Sites, in units of the cell vectors:
K1 0.0000 0.0000 0.0000
Mo1 0.5000 0.5000 0.5000
Ir1 0.0000 0.0000 0.5000
Ir2 0.0000 0.5000 0.0000
Ir3 0.5000 0.0000 0.0000


# 12
Density functional theory data (PBE-GGA) for a relaxed structure of TaCu2SbSe.

- ρ (g/cm3) = 6.70
- calculated volume (A^3/atom) = 25.22
- total moment (μB/atom) = 0.000
- formation energy from raw total energies (eV per formula unit) = 5.8

a = 4.8280 Å, b = 4.8280 Å, c = 5.4096 Å
α = 90.00°, β = 90.00°, γ = 90.00°
Sites, in units of the cell vectors:
Ta1 0.0000 0.0000 0.0000
Cu1 0.0000 0.5000 0.0000
Cu2 0.5000 0.0000 0.0000
Sb1 0.0000 0.0000 0.5000
Se1 0.5000 0.5000 0.5000


# 13
Density functional theory data (PBE-GGA) for a relaxed structure of BiSBrO2.

- ρ (g/cm3) = 6.65
- calculated volume (A^3/atom) = 17.64
- total moment (μB/atom) = 0.000
- formation energy from raw total energies (eV per formula unit) = 1.0

a = 4.0051 Å, b = 4.0051 Å, c = 5.4981 Å
α = 90.00°, β = 90.00°, γ = 90.00°
Sites, in units of the cell vectors:
Bi1 0.0000 0.0000 0.0000
S1 0.0000 0.0000 0.5000
Br1 0.5000 0.5000 0.0000
O1 0.0000 0.5000 0.5000
O2 0.5000 0.0000 0.5000


# 14
Density functional theory data (PBE-GGA) for a relaxed structure of H2IF.

- ρ (g/cm3) = 3.62
- calculated volume (A^3/atom) = 16.96
- total moment (μB/atom) = 0.000
- polymorph energy (0 for the lowest one) (eV per atom) = 0.4882

a = 5.3820 Å, b = 5.3820 Å, c = 5.3820 Å
α = 43.82°, β = 43.82°, γ = 43.82°
Sites, in units of the cell vectors:
H1 0.0730 0.0730 0.0730
H2 0.9270 0.9270 0.9270
I1 0.5000 0.5000 0.5000
F1 0.0000 0.0000 0.0000


# 15
Density functional theory data (PBE-GGA) for a relaxed structure of BaSbPd2.

- ρ (g/cm3) = 6.23
- calculated volume (A^3/atom) = 31.43
- total moment (μB/atom) = 0.000
- formation energy from raw total energies (eV per formula unit) = -2.4

a = 9.6233 Å, b = 9.6233 Å, c = 9.6233 Å
α = 147.85°, β = 147.85°, γ = 46.10°
Sites, in units of the cell vectors:
Ba1 0.0000 0.0000 0.0000
Ba2 0.7500 0.2500 0.5000
Sb1 0.2500 0.7500 0.5000
Sb2 0.5000 0.5000 0.0000
Pd1 0.3696 0.6250 0.2446
Pd2 0.3750 0.6196 0.7446
Pd3 0.3804 0.1250 0.7554
Pd4 0.8750 0.6304 0.2554


# 16
Density functional theory data (PBE-GGA) for a relaxed structure of Cd2CoPb2.

- formation energy (eV/atom) = 0.51
- ρ (g/cm3) = 8.82
- calculated volume (A^3/atom) = 26.30
- total moment (μB/atom) = 0.313
- polymorph energy (0 for the lowest one) (eV per atom) = 0.0764

a = 9.6691 Å, b = 9.6691 Å, c = 9.6691 Å
α = 157.57°, β = 157.57°, γ = 31.93°
Sites, in units of the cell vectors:
Cd1 0.2500 0.7500 0.5000
Cd2 0.7500 0.2500 0.5000
Co1 0.0000 0.0000 0.0000
Pb1 0.4154 0.4154 0.0000
Pb2 0.5846 0.5846 0.0000


# 17
Density functional theory data (PBE-GGA) for a relaxed structure of Tb5NdIn2.

- formation energy (eV/atom) = -0.27
- ρ (g/cm3) = 8.33
- calculated volume (A^3/atom) = 29.11
- total moment (μB/atom) = 0.002
- polymorph energy (0 for the lowest one) (eV per atom) = 0.0000

a = 6.9064 Å, b = 13.8124 Å, c = 4.8832 Å
α = 90.00°, β = 90.00°, γ = 90.00°
Sites, in units of the cell vectors:
Tb1 0.0000 0.0000 0.0000
Tb2 0.0019 0.2486 0.0000
Tb3 0.2505 0.1262 0.5000
Tb4 0.2495 0.6262 0.5000
Tb5 0.4981 0.7486 0.0000
Tb6 0.5000 0.5000 0.0000
Tb7 0.5019 0.2514 0.0000
Tb8 0.7505 0.3738 0.5000
Tb9 0.7495 0.8738 0.5000
Tb10 0.9981 0.7514 0.0000
Nd1 0.0000 0.5000 0.0000
Nd2 0.5000 0.0000 0.0000
In1 0.2458 0.8735 0.5000
In2 0.2542 0.3735 0.5000
In3 0.7458 0.6265 0.5000
In4 0.7542 0.1265 0.5000


# 18
Density functional theory data (PBE-GGA) for a relaxed structure of SnHgN2.

- ρ (g/cm3) = 8.63
- calculated volume (A^3/atom) = 16.70
- total moment (μB/atom) = 0.000
- formation energy from raw total energies (eV per formula unit) = 2.2
- polymorph energy (0 for the lowest one) (eV per atom) = 0.3658

a = 6.1612 Å, b = 6.1612 Å, c = 6.1612 Å
α = 130.10°, β = 130.10°, γ = 73.25°
Sites, in units of the cell vectors:
Sn1 0.0000 0.0000 0.0000
Sn2 0.7500 0.2500 0.5000
Hg1 0.2500 0.7500 0.5000
Hg2 0.5000 0.5000 0.0000
N1 0.0826 0.6250 0.9576
N2 0.3750 0.3326 0.4576
N3 0.6674 0.1250 0.0424
N4 0.8750 0.9174 0.5424


# 19
Density functional theory data (PBE-GGA) for a relaxed structure of Hf2Hg2P.

- formation energy (eV/atom) = 0.27
- ρ (g/cm3) = 12.33
- calculated volume (A^3/atom) = 21.26
- total moment (μB/atom) = 0.000
- polymorph energy (0 for the lowest one) (eV per atom) = 0.6336

a = 7.1692 Å, b = 7.1692 Å, c = 4.1370 Å
α = 90.00°, β = 90.00°, γ = 90.00°
Sites, in units of the cell vectors:
Hf1 0.1629 0.3371 0.0000
Hf2 0.3371 0.8371 0.0000
Hf3 0.6629 0.1629 0.0000
Hf4 0.8371 0.6629 0.0000
Hg1 0.1406 0.6406 0.5000
Hg2 0.3594 0.1406 0.5000
Hg3 0.6406 0.8594 0.5000
Hg4 0.8594 0.3594 0.5000
P1 0.0000 0.0000 0.5000
P2 0.5000 0.5000 0.5000


# 20
Density functional theory data (PBE-GGA) for a relaxed structure of SiAs2S2.

- ρ (g/cm3) = 4.00
- calculated volume (A^3/atom) = 20.11
- total moment (μB/atom) = 0.000
- formation energy from raw total energies (eV per formula unit) = 2.2

a = 7.7691 Å, b = 7.7691 Å, c = 3.3322 Å
α = 90.00°, β = 90.00°, γ = 90.00°
Sites, in units of the cell vectors:
Si1 0.0000 0.0000 0.0000
Si2 0.5000 0.5000 0.0000
As1 0.1947 0.3053 0.5000
As2 0.3053 0.8053 0.5000
As3 0.6947 0.1947 0.5000
As4 0.8053 0.6947 0.5000
S1 0.1560 0.6560 0.0000
S2 0.3440 0.1560 0.0000
S3 0.6560 0.8440 0.0000
S4 0.8440 0.3440 0.0000


no.,electronic total energy (eV per atom)
1,-5.192
2,-4.865
3,-5.769
4,-5.393
5,-1.905
6,-5.801
7,-3.652
8,-6.174
9,-9.427
10,-2.757
11,-4.403
12,-4.363
13,-3.726
14,-2.788
15,-4.717
16,-2.759
17,-4.443
18,-4.683
19,-4.910
20,-4.158